Entry 1:
This record from Alexandria describes a relaxed structure of CeVNi2. The functional is GGA-PBE.

Calculated values
Symmetry ... P4/mmm, No. 123
Formation enthalpy at 0 K ... -0.112 eV per atom
Calculated density ... 8.3 Mg/m³

Structure (POSCAR):
```
CeVNi2
1.0
-0.591 2.791 -0.899
-0.437 -0.990 -2.789
-6.675 -0.966 1.390
Ni V Ce
2 1 1
Direct
0.000 0.000 0.815 Ni
0.000 0.000 0.185 Ni
0.500 0.500 0.000 V
0.500 0.500 0.500 Ce
```

Entry 2:
This record from Alexandria describes a relaxed structure of Li2Pr2YBi2. The functional is GGA-PBE.

Calculated values
Symmetry ... R-3m, No. 166
Formation enthalpy at 0 K ... -0.443 eV per atom
Calculated density ... 6.9 Mg/m³

Structure (POSCAR):
```
Li2Pr2YBi2
1.0
-0.888 4.801 0.536
-2.318 1.637 4.010
7.023 3.167 5.777
Y Li Pr Bi
1 2 2 2
Direct
0.000 0.000 0.000 Y
0.402 0.402 0.793 Li
0.598 0.598 0.207 Li
0.871 0.871 0.388 Pr
0.129 0.129 0.612 Pr
0.269 0.269 0.192 Bi
0.731 0.731 0.808 Bi
```

Entry 3:
This record from Alexandria describes a relaxed structure of AlFe2Co. The functional is GGA-PBE.

Calculated values
Symmetry ... R3m, No. 160
Formation enthalpy at 0 K ... -0.026 eV per atom
Calculated density ... 6.8 Mg/m³

Structure (POSCAR):
```
AlFe2Co
1.0
8.297 0.011 0.007
7.884 2.586 0.007
7.884 1.265 2.255
Fe Al Co
2 1 1
Direct
0.003 0.003 0.003 Fe
0.250 0.250 0.250 Fe
0.498 0.498 0.498 Al
0.749 0.749 0.749 Co
```

Entry 4:
This record from Alexandria describes a relaxed structure of NiIrRu2. The functional is GGA-PBE.

Calculated values
Symmetry ... Cmmm, No. 65
Formation enthalpy at 0 K ... 0.411 eV per atom
Calculated density ... 13.5 Mg/m³

Structure (POSCAR):
```
NiIrRu2
1.0
2.659 -0.011 0.000
-1.277 2.332 0.000
0.000 0.000 9.034
Ni Ir Ru
1 1 2
Direct
0.500 0.500 0.750 Ni
0.500 0.500 0.250 Ir
0.000 0.000 0.509 Ru
0.000 0.000 0.991 Ru
```

Entry 5:
This record from Alexandria describes a relaxed structure of Ca2YMo. The functional is GGA-PBE.

Calculated values
Symmetry ... Cm, No. 8
Formation enthalpy at 0 K ... 0.584 eV per atom
Calculated density ... 3.9 Mg/m³

Structure (POSCAR):
```
Ca2YMo
1.0
5.399 -0.011 -0.066
4.410 3.115 -0.066
0.779 0.247 6.709
Ca Y Mo
2 1 1
Direct
0.998 0.998 0.025 Ca
0.765 0.765 0.724 Ca
0.236 0.236 0.301 Y
0.501 0.501 0.450 Mo
```

Entry 6:
This record from Alexandria describes a relaxed structure of Sm2Dy2Ho2Mg. The functional is GGA-PBE.

Calculated values
Symmetry ... C2/m, No. 12
Formation enthalpy at 0 K ... 0.088 eV per atom
Calculated density ... 7.3 Mg/m³

Structure (POSCAR):
```
Sm2Dy2Ho2Mg
1.0
3.656 0.000 0.000
-1.828 5.856 -1.500
0.000 -2.896 11.153
Mg Dy Sm Ho
1 2 2 2
Direct
0.000 0.000 0.500 Mg
0.680 0.361 0.086 Dy
0.320 0.639 0.914 Dy
0.527 0.055 0.743 Sm
0.473 0.945 0.257 Sm
0.254 0.508 0.373 Ho
0.746 0.492 0.627 Ho
```

Entry 7:
This record from Alexandria describes a relaxed structure of As3C. The functional is GGA-PBE.

Calculated values
Symmetry ... R-3m, No. 166
Formation enthalpy at 0 K ... 1.013 eV per atom
Calculated density ... 6.2 Mg/m³

Structure (POSCAR):
```
As3C
1.0
-6.625 -2.419 -2.912
-4.705 -2.656 -5.387
-4.804 -4.957 -3.250
C As
1 3
Direct
0.000 0.000 0.000 C
0.500 0.500 0.500 As
0.726 0.726 0.726 As
0.274 0.274 0.274 As
```

Entry 8:
This record from Alexandria describes a relaxed structure of YAlH3. The functional is GGA-PBE.

Calculated values
Symmetry ... Pm-3m, No. 221
Raw total energy ... -4.04 eV per atom
Calculated density ... 2.9 Mg/m³

Structure (POSCAR):
```
YAlH3
1.0
4.103 0.000 0.000
0.000 4.103 0.000
0.000 0.000 4.103
H Y Al
3 1 1
Direct
0.500 0.000 0.000 H
0.000 0.500 0.000 H
0.000 0.000 0.500 H
0.000 0.000 0.000 Y
0.500 0.500 0.500 Al
```

Entry 9:
This record from Alexandria describes a relaxed structure of AsPbIO2. The functional is GGA-PBE.

Calculated values
Symmetry ... P2_1/m, No. 11
Formation energy (no corrections) ... -1.015 eV per atom
Calculated density ... 6.2 Mg/m³

Structure (POSCAR):
```
AsPbIO2
1.0
-0.368 -2.790 -3.130
5.119 -4.905 3.770
-6.465 -2.000 2.542
As I O Pb
2 2 4 2
Direct
0.750 0.387 0.580 As
0.250 0.613 0.420 As
0.750 0.925 0.232 I
0.250 0.075 0.768 I
0.250 0.503 0.171 O
0.750 0.563 0.455 O
0.750 0.497 0.829 O
0.250 0.437 0.545 O
0.750 0.307 0.052 Pb
0.250 0.693 0.948 Pb
```

Entry 10:
This record from Alexandria describes a relaxed structure of Nd8InIr3I4. The functional is GGA-PBE.

Calculated values
Symmetry ... R-3m, No. 166
Formation energy (no corrections) ... -0.850 eV per atom
Calculated density ... 7.5 Mg/m³

Structure (POSCAR):
```
Nd8InIr3I4
1.0
8.607 0.000 0.000
0.000 9.483 0.624
-4.303 -4.305 6.083
Nd I Ir In
8 4 3 1
Direct
0.757 0.310 0.514 Nd
0.271 0.312 0.541 Nd
0.757 0.310 0.052 Nd
0.243 0.690 0.486 Nd
0.729 0.688 0.459 Nd
0.243 0.690 0.948 Nd
0.295 0.310 0.052 Nd
0.705 0.690 0.948 Nd
0.500 0.000 0.000 I
0.500 0.000 0.500 I
0.000 0.000 0.000 I
0.000 0.000 0.500 I
0.500 0.500 0.000 Ir
0.000 0.500 0.500 Ir
0.500 0.500 0.500 Ir
0.000 0.500 0.000 In
```

Entry 11:
This record from Alexandria describes a relaxed structure of Na3Pm2UTe6. The functional is GGA-PBE.

Calculated values
Symmetry ... C2/m, No. 12
Formation energy (no corrections) ... -1.133 eV per atom
Calculated density ... 5.7 Mg/m³

Structure (POSCAR):
```
Na3Pm2UTe6
1.0
-2.702 -5.217 -5.137
-0.835 -1.278 7.653
-5.486 5.735 -0.965
Te Na Pm U
6 3 2 1
Direct
0.410 0.079 0.238 Te
0.590 0.921 0.762 Te
0.921 0.590 0.762 Te
0.079 0.410 0.238 Te
0.251 0.251 0.762 Te
0.749 0.749 0.238 Te
0.832 0.168 0.500 Na
0.168 0.832 0.500 Na
0.500 0.500 0.500 Na
0.334 0.666 0.000 Pm
0.666 0.334 0.000 Pm
0.000 0.000 0.000 U
```

Entry 12:
This record from Alexandria describes a relaxed structure of LiBrO2. The functional is GGA-PBE.

Calculated values
Symmetry ... R-3m, No. 166
Formation energy (no corrections) ... -0.002 eV per atom
Calculated density ... 3.2 Mg/m³

Structure (POSCAR):
```
LiBrO2
1.0
-2.805 1.502 4.735
-0.111 -0.859 5.638
0.685 2.688 4.984
Li O Br
1 2 1
Direct
0.000 0.000 0.000 Li
0.884 0.884 0.884 O
0.116 0.116 0.116 O
0.500 0.500 0.500 Br
```

Entry 13:
This record from Alexandria describes a relaxed structure of Nd12Pb5C2. The functional is GGA-PBE.

Calculated values
Symmetry ... C2/m, No. 12
Formation enthalpy at 0 K ... -0.231 eV per atom
Calculated density ... 7.1 Mg/m³

Structure (POSCAR):
```
Nd12Pb5C2
1.0
-4.757 4.347 4.333
5.209 -6.370 5.150
5.982 7.777 -1.234
Pb Nd C
5 12 2
Direct
0.686 0.371 0.838 Pb
0.314 0.629 0.162 Pb
0.307 0.615 0.650 Pb
0.693 0.385 0.350 Pb
0.000 0.000 0.500 Pb
0.502 0.004 0.180 Nd
0.906 0.302 0.075 Nd
0.604 0.698 0.925 Nd
0.603 0.698 0.425 Nd
0.905 0.302 0.575 Nd
0.998 0.996 0.171 Nd
0.094 0.698 0.925 Nd
0.498 0.996 0.820 Nd
0.095 0.698 0.425 Nd
0.397 0.302 0.575 Nd
0.396 0.302 0.075 Nd
0.002 0.004 0.829 Nd
0.747 0.000 0.000 C
0.253 0.000 0.000 C
```

Entry 14:
This record from Alexandria describes a relaxed structure of ErCo2SiC. The functional is GGA-PBE.

Calculated values
Symmetry ... Cmcm, No. 63
Formation energy (no corrections) ... -0.608 eV per atom
Calculated density ... 8.4 Mg/m³

Structure (POSCAR):
```
ErCo2SiC
1.0
3.678 0.000 0.000
-1.839 5.244 0.000
0.000 0.000 6.697
Er Co C Si
2 4 2 2
Direct
0.550 0.100 0.250 Er
0.450 0.900 0.750 Er
0.836 0.673 0.444 Co
0.836 0.673 0.056 Co
0.164 0.327 0.556 Co
0.164 0.327 0.944 Co
0.000 0.000 0.000 C
0.000 0.000 0.500 C
0.729 0.457 0.750 Si
0.271 0.543 0.250 Si
```

Entry 15:
This record from Alexandria describes a relaxed structure of TbNdEuSn. The functional is GGA-PBE.

Calculated values
Symmetry ... F-43m, No. 216
Formation enthalpy at 0 K ... -0.265 eV per atom
Calculated density ... 7.9 Mg/m³

Structure (POSCAR):
```
TbNdEuSn
1.0
-2.797 -2.208 -4.237
2.262 -4.077 -2.985
-1.998 -5.149 0.385
Sn Eu Nd Tb
1 1 1 1
Direct
0.250 0.250 0.250 Sn
0.750 0.750 0.750 Eu
0.500 0.500 0.500 Nd
0.000 0.000 0.000 Tb
```

Entry 16:
This record from Alexandria describes a relaxed structure of BaCrHg2. The functional is GGA-PBE.

Calculated values
Symmetry ... C2/m, No. 12
Formation enthalpy at 0 K ... 0.011 eV per atom
Calculated density ... 8.2 Mg/m³

Structure (POSCAR):
```
BaCrHg2
1.0
-0.802 -4.383 2.098
0.519 -4.126 -2.639
5.382 -3.106 1.332
Hg Ba Cr
2 1 1
Direct
0.543 0.543 0.371 Hg
0.957 0.957 0.129 Hg
0.750 0.750 0.750 Ba
0.250 0.250 0.250 Cr
```

Entry 17:
This record from Alexandria describes a relaxed structure of HfUPa2. The functional is GGA-PBE.

Calculated values
Symmetry ... P4/mmm, No. 123
Formation enthalpy at 0 K ... 0.149 eV per atom
Calculated density ... 15.8 Mg/m³

Structure (POSCAR):
```
HfUPa2
1.0
3.139 0.000 0.000
0.000 5.422 0.000
0.000 0.000 5.422
U Pa Hf
1 2 1
Direct
0.500 0.500 0.500 U
0.000 0.500 0.000 Pa
0.000 0.000 0.500 Pa
0.500 0.000 0.000 Hf
```

Entry 18:
This record from Alexandria describes a relaxed structure of BeCr2Au. The functional is GGA-PBE.

Calculated values
Symmetry ... P4/mmm, No. 123
Formation enthalpy at 0 K ... 0.421 eV per atom
Calculated density ... 9.0 Mg/m³

Structure (POSCAR):
```
BeCr2Au
1.0
4.223 0.000 0.000
0.000 4.223 0.000
0.000 0.000 3.213
Au Cr Be
1 2 1
Direct
0.500 0.000 0.500 Au
0.000 0.000 0.000 Cr
0.500 0.500 0.000 Cr
0.000 0.500 0.500 Be
```

Entry 19:
This record from Alexandria describes a relaxed structure of NiBrCl. The functional is GGA-PBE.

Calculated values
Symmetry ... Fmm2, No. 42
Formation energy (no corrections) ... -0.363 eV per atom
Calculated density ... 3.1 Mg/m³

Structure (POSCAR):
```
NiBrCl
1.0
-3.376 -6.883 1.798
0.424 -6.823 -0.622
-1.194 -0.859 4.259
Cl Br Ni
1 1 1
Direct
0.280 0.280 0.720 Cl
0.049 0.049 0.951 Br
0.671 0.671 0.329 Ni
```

Entry 20:
This record from Alexandria describes a relaxed structure of VRuBr2. The functional is GGA-PBE.

Calculated values
Symmetry ... R-3m, No. 166
Formation energy (no corrections) ... 0.678 eV per atom
Calculated density ... 5.6 Mg/m³

Structure (POSCAR):
```
VRuBr2
1.0
4.263 1.621 6.751
6.888 1.139 4.200
5.178 4.398 4.497
Br V Ru
2 1 1
Direct
0.892 0.892 0.892 Br
0.108 0.108 0.108 Br
0.000 0.000 0.000 V
0.500 0.500 0.500 Ru
```

Entry 21:
This record from Alexandria describes a relaxed structure of ZnGeS. The functional is GGA-PBE.

Calculated values
Symmetry ... Pm, No. 6
Formation energy (no corrections) ... -0.076 eV per atom
Calculated density ... 4.2 Mg/m³

Structure (POSCAR):
```
ZnGeS
1.0
-0.164 -3.932 -2.200
-1.117 -1.592 2.929
-3.993 2.379 -0.229
Ge S Zn
1 1 1
Direct
0.083 0.000 0.008 Ge
0.474 0.500 0.080 S
0.872 0.000 0.433 Zn
```

Entry 22:
This record from Alexandria describes a relaxed structure of KSm4. The functional is GGA-PBE.

Calculated values
Symmetry ... Pm-3m, No. 221
Formation enthalpy at 0 K ... 0.995 eV per atom
Calculated density ... 5.8 Mg/m³

Structure (POSCAR):
```
KSm4
1.0
-3.661 -1.252 -4.159
-3.676 -2.004 3.839
-2.313 5.166 0.481
K Sm
1 4
Direct
0.500 0.500 0.500 K
0.000 0.500 0.500 Sm
0.500 0.000 0.500 Sm
0.000 0.000 0.000 Sm
0.500 0.500 0.000 Sm
```

Entry 23:
This record from Alexandria describes a relaxed structure of PrSm12Dy3. The functional is GGA-PBE.

Calculated values
Symmetry ... P4/mmm, No. 123
Formation enthalpy at 0 K ... 0.016 eV per atom
Calculated density ... 7.6 Mg/m³

Structure (POSCAR):
```
PrSm12Dy3
1.0
-1.624 0.241 4.842
4.629 -1.442 1.624
5.766 19.592 0.959
Sm Dy Pr
12 3 1
Direct
0.000 0.500 0.376 Sm
0.500 0.000 0.376 Sm
0.500 0.500 0.000 Sm
0.500 0.500 0.500 Sm
0.500 0.000 0.873 Sm
0.500 0.000 0.624 Sm
0.000 0.500 0.127 Sm
0.000 0.500 0.624 Sm
0.500 0.500 0.252 Sm
0.500 0.000 0.127 Sm
0.000 0.500 0.873 Sm
0.500 0.500 0.748 Sm
0.000 0.000 0.749 Dy
0.000 0.000 0.500 Dy
0.000 0.000 0.251 Dy
0.000 0.000 0.000 Pr
```

Entry 24:
This record from Alexandria describes a relaxed structure of CeTh4Cd. The functional is GGA-PBE.

Calculated values
Symmetry ... P4/mmm, No. 123
Formation enthalpy at 0 K ... -0.013 eV per atom
Calculated density ... 10.8 Mg/m³

Structure (POSCAR):
```
CeTh4Cd
1.0
-2.788 0.640 2.069
-0.785 -3.442 0.006
8.331 -1.881 11.804
Th Cd Ce
4 1 1
Direct
0.000 0.000 0.660 Th
0.500 0.500 0.165 Th
0.000 0.000 0.340 Th
0.500 0.500 0.835 Th
0.500 0.500 0.500 Cd
0.000 0.000 0.000 Ce
```

Entry 25:
This record from Alexandria describes a relaxed structure of TlGaAgSe. The functional is GGA-PBE.

Calculated values
Symmetry ... P3m1, No. 156
Formation energy (no corrections) ... -0.136 eV per atom
Calculated density ... 7.9 Mg/m³

Structure (POSCAR):
```
TlGaAgSe
1.0
3.734 0.000 0.000
-1.867 3.234 0.000
0.000 0.000 8.037
Ag Ga Se Tl
1 1 1 1
Direct
0.333 0.667 0.528 Ag
0.000 0.000 0.750 Ga
0.667 0.333 0.923 Se
0.000 0.000 0.258 Tl
```

Entry 26:
This record from Alexandria describes a relaxed structure of Mg2MoRh. The functional is GGA-PBE.

Calculated values
Symmetry ... Pm, No. 6
Formation enthalpy at 0 K ... 0.028 eV per atom
Calculated density ... 6.1 Mg/m³

Structure (POSCAR):
```
Mg2MoRh
1.0
4.457 0.000 0.000
0.000 2.834 -0.014
0.000 0.983 5.358
Mg Rh Mo
2 1 1
Direct
0.000 0.979 0.988 Mg
0.500 0.259 0.261 Mg
0.500 0.681 0.729 Rh
0.000 0.581 0.522 Mo
```

Entry 27:
This record from Alexandria describes a relaxed structure of CaTcHg. The functional is GGA-PBE.

Calculated values
Symmetry ... F-43m, No. 216
Formation enthalpy at 0 K ... 0.742 eV per atom
Calculated density ... 7.2 Mg/m³

Structure (POSCAR):
```
CaTcHg
1.0
4.802 0.000 0.000
2.401 4.158 0.000
2.401 1.386 3.921
Tc Hg Ca
1 1 1
Direct
0.000 0.000 0.000 Tc
0.750 0.750 0.750 Hg
0.500 0.500 0.500 Ca
```